SrCaCoO3: relaxed, GGA+U.

The space group is P2_1/m (No. 11) and the conventional cell measures 7.215, 3.487 and 7.764 Å, with angles of 90.00, 99.28 and 90.00 degrees. The inequivalent atoms are Sr at (0.178, 0.250, 0.188), Ca at (0.361, 0.750, 0.846), Co at (0.105, 0.250, 0.605), O at (0.118, 0.250, 0.854), O at (0.174, 0.750, 0.509) and O at (0.414, 0.750, 0.145).

The calculated volume is 96 Å³/f.u. The electronic total energy is -6.0739 eV per atom.

CaTaCo2O6: relaxed, GGA+U.

The space group is R3 (No. 146, hexagonal axes) and the conventional cell measures 5.2139, 5.2139 and 14.4887 Å, with angles of 90.00, 90.00 and 120.00 degrees. The inequivalent atoms are Ca at (0.0000, 0.0000, 0.0000), Ta at (0.0000, 0.0000, 0.4813), Co at (0.0000, 0.0000, 0.2751), Co at (0.0000, 0.0000, 0.7920), O at (0.0138, 0.6012, 0.0552) and O at (0.0239, 0.3561, 0.5404).

The calculated volume is 114 Å³/f.u. The electronic total energy is -7.4276 eV per atom.